# 1
# YTa3O9

YTa3O9 after structural relaxation (PBEsol, Alexandria).

POSCAR file:
```
YTa3O9
1.0
-3.563 -2.443 2.966
4.341 -6.035 0.242
3.882 3.055 6.558
Y Ta O
2 6 18
Direct
0.034 0.250 0.434
0.966 0.750 0.566
0.000 0.000 0.000
0.000 0.500 0.000
0.471 0.493 0.697
0.471 0.007 0.697
0.529 0.993 0.303
0.529 0.507 0.303
0.101 0.250 0.977
0.145 0.934 0.783
0.145 0.566 0.783
0.258 0.956 0.467
0.258 0.544 0.467
0.332 0.250 0.653
0.327 0.944 0.119
0.327 0.556 0.119
0.422 0.250 0.313
0.578 0.750 0.687
0.673 0.056 0.881
0.673 0.444 0.881
0.668 0.750 0.347
0.742 0.044 0.533
0.742 0.456 0.533
0.855 0.066 0.217
0.855 0.434 0.217
0.899 0.750 0.023
```

Summary:
The raw total energy is -10.11 eV per atom. As for the energy above the most stable polymorph in this dataset: 0 meV per atom. As for the space group: P2_1/m, No. 11. The uncorrected formation energy is -3.0537 eV/atom.

***

# 2
# ScCd2Cl

ScCd2Cl after structural relaxation (PBEsol, Alexandria).

POSCAR file:
```
ScCd2Cl
1.0
3.353 0.000 0.000
1.676 2.903 0.000
1.676 0.968 8.975
Sc Cl Cd
1 1 2
Direct
0.500 0.500 0.500
0.000 0.000 0.000
0.254 0.254 0.238
0.746 0.746 0.762
```

Summary:
The raw total energy is -3.11 eV per atom. As for the energy above the most stable polymorph in this dataset: 147 meV per atom. As for the space group: R-3m, No. 166. The uncorrected formation energy is -0.3556 eV/atom.

***

# 3
# MnGaAu3

MnGaAu3 after structural relaxation (PBEsol, Alexandria).

POSCAR file:
```
MnGaAu3
1.0
-3.575 -0.854 3.185
-2.069 -3.076 -3.148
2.567 -3.669 1.898
Mn Au Ga
1 3 1
Direct
0.000 0.000 0.000
0.000 0.500 0.000
0.000 0.000 0.500
0.500 0.000 0.000
0.500 0.500 0.500
```

Summary:
The formation enthalpy at 0 K comes out at 72.3 kJ per mole of atoms. The raw total energy is -4.23 eV per atom. As for the space group: Pm-3m, No. 221.

***

# 4
# GdErIn2

GdErIn2 after structural relaxation (PBEsol, Alexandria).

POSCAR file:
```
GdErIn2
1.0
5.225 0.000 0.000
2.612 4.525 0.000
2.612 1.508 4.266
Gd In Er
1 2 1
Direct
0.500 0.500 0.500
0.250 0.250 0.250
0.750 0.750 0.750
0.000 0.000 0.000
```

Summary:
The formation enthalpy at 0 K comes out at -49.7 kJ per mole of atoms. The raw total energy is -6.85 eV per atom. As for the space group: Fm-3m, No. 225.